The following is a DFT calculation (PBE with a Hubbard U) of PuVInO6 after structural relaxation.

Cell: 5.3217 5.3217 9.3554 Å, 90.00 90.00 120.00°
Sites, in units of the cell vectors:
O: 0.9871 0.6482 0.3664
O: 0.3518 0.3389 0.3664
O: 0.3389 0.9871 0.6336
O: 0.3389 0.3518 0.8664
O: 0.9871 0.3389 0.1336
O: 0.6482 0.9871 0.8664
O: 0.3518 0.0129 0.1336
O: 0.6482 0.6611 0.6336
O: 0.0129 0.3518 0.6336
O: 0.0129 0.6611 0.8664
O: 0.6610 0.6482 0.1336
O: 0.6610 0.0129 0.3664
V: 0.6667 0.3333 0.2500
V: 0.3333 0.6667 0.7500
Pu: 0.3333 0.6667 0.2500
Pu: 0.6667 0.3333 0.7500
In: 0.0000 0.0000 0.5000
In: 0.0000 0.0000 0.0000

## Properties
total energy = -8.115 eV per atom
spin magnetization = 8.0 μB per cell